PBE Si2Ag, optimized geometry; V = 98.9 Å³ per cell; excess energy over the best structure of this formula in the dataset = 0.047 eV/atom
1.0
0.000 3.671 3.671
3.671 0.000 3.671
3.671 3.671 0.000
Si Ag
4 2
direct
0.625 0.625 0.625 Si
0.125 0.625 0.625 Si
0.625 0.625 0.125 Si
0.625 0.125 0.625 Si
0.250 0.250 0.250 Ag
0.000 0.000 0.000 Ag



PBE Cu2AgMo, optimized geometry; V = 57.9 Å³ per cell; size of the total moment = 0.0 μB/f.u.; energy of formation from the pure elements = 0.58 eV per atom
1.0
0.000 3.071 3.071
3.071 0.000 3.071
3.071 3.071 0.000
Cu Ag Mo
2 1 1
direct
0.500 0.500 0.500 Cu
0.250 0.250 0.250 Cu
0.750 0.750 0.750 Ag
0.000 0.000 0.000 Mo



PBE U2B6W, optimized geometry; V = 387.5 Å³ per cell; size of the total moment = 0.7 μB/f.u.; final energy = -0.6579 Ry/atom
1.0
9.268 0.000 0.000
0.000 11.353 0.000
0.000 0.000 3.683
B U W
24 8 4
direct
0.804 0.273 0.500 B
0.642 0.039 0.500 B
0.696 0.773 0.500 B
0.950 0.934 0.500 B
0.985 0.218 0.500 B
0.142 0.461 0.500 B
0.756 0.924 0.500 B
0.450 0.566 0.500 B
0.244 0.076 0.500 B
0.644 0.187 0.500 B
0.485 0.282 0.500 B
0.144 0.313 0.500 B
0.744 0.424 0.500 B
0.515 0.718 0.500 B
0.015 0.782 0.500 B
0.050 0.066 0.500 B
0.356 0.813 0.500 B
0.256 0.576 0.500 B
0.550 0.434 0.500 B
0.858 0.539 0.500 B
0.856 0.687 0.500 B
0.196 0.727 0.500 B
0.304 0.227 0.500 B
0.358 0.961 0.500 B
0.956 0.394 0.000 U
0.834 0.092 0.000 U
0.456 0.106 0.000 U
0.044 0.606 0.000 U
0.334 0.408 0.000 U
0.544 0.894 0.000 U
0.166 0.908 0.000 U
0.666 0.592 0.000 U
0.355 0.680 0.000 W
0.145 0.180 0.000 W
0.645 0.320 0.000 W
0.855 0.820 0.000 W



PBE GeP2Os3, optimized geometry; V = 91.8 Å³ per cell; size of the total moment = 0.0 μB/f.u.; final energy = -0.5817 Ry/atom
1.0
-1.817 -2.467 2.221
3.097 1.766 1.271
-4.210 5.482 2.644
Ge Os P
1 3 2
direct
0.000 0.000 0.500 Ge
0.333 0.667 0.258 Os
0.667 0.333 0.742 Os
0.000 0.000 0.000 Os
0.667 0.333 0.170 P
0.333 0.667 0.830 P



PBE Tb2O3, optimized geometry; V = 92.9 Å³ per cell; size of the total moment = 0.0 μB/f.u.; final energy = -0.6010 Ry/atom
1.0
5.921 0.000 0.000
-2.961 5.128 0.000
0.000 0.000 3.061
Tb O
2 3
direct
0.333 0.667 0.001 Tb
0.667 0.333 0.999 Tb
0.496 0.496 0.500 O
0.000 0.504 0.500 O
0.504 0.000 0.500 O



PBE Y3Re3W2N12, optimized geometry; V = 1028.1 Å³ per cell; size of the total moment = 0.0 μB/f.u.; final energy = -0.7138 Ry/atom
1.0
-5.499 1.376 9.441
4.665 9.528 -2.954
-6.977 -3.266 -7.870
Re N Y W
12 48 12 8
direct
0.750 0.375 0.625 Re
0.875 0.125 0.750 Re
0.250 0.125 0.875 Re
0.750 0.875 0.125 Re
0.625 0.375 0.250 Re
0.375 0.625 0.750 Re
0.875 0.250 0.125 Re
0.625 0.750 0.375 Re
0.125 0.875 0.250 Re
0.125 0.750 0.875 Re
0.375 0.250 0.625 Re
0.250 0.625 0.375 Re
0.819 0.800 0.417 N
0.402 0.819 0.519 N
0.181 0.481 0.598 N
0.617 0.417 0.098 N
0.917 0.300 0.319 N
0.583 0.181 0.200 N
0.681 0.083 0.700 N
0.700 0.681 0.083 N
0.319 0.917 0.300 N
0.981 0.681 0.098 N
0.402 0.083 0.883 N
0.300 0.481 0.383 N
0.598 0.917 0.117 N
0.617 0.700 0.519 N
0.098 0.617 0.417 N
0.383 0.583 0.902 N
0.181 0.200 0.583 N
0.117 0.019 0.200 N
0.117 0.598 0.917 N
0.019 0.200 0.117 N
0.019 0.319 0.902 N
0.917 0.117 0.598 N
0.200 0.583 0.181 N
0.819 0.519 0.402 N
0.083 0.883 0.402 N
0.700 0.519 0.617 N
0.083 0.700 0.681 N
0.883 0.402 0.083 N
0.800 0.883 0.981 N
0.519 0.402 0.819 N
0.800 0.417 0.819 N
0.981 0.800 0.883 N
0.417 0.819 0.800 N
0.481 0.598 0.181 N
0.200 0.117 0.019 N
0.902 0.383 0.583 N
0.098 0.981 0.681 N
0.902 0.019 0.319 N
0.319 0.902 0.019 N
0.417 0.098 0.617 N
0.883 0.981 0.800 N
0.681 0.098 0.981 N
0.598 0.181 0.481 N
0.481 0.383 0.300 N
0.300 0.319 0.917 N
0.383 0.300 0.481 N
0.583 0.902 0.383 N
0.519 0.617 0.700 N
0.375 0.125 0.250 Y
0.125 0.250 0.375 Y
0.625 0.875 0.750 Y
0.250 0.875 0.625 Y
0.750 0.625 0.875 Y
0.625 0.250 0.875 Y
0.250 0.375 0.125 Y
0.750 0.125 0.375 Y
0.375 0.750 0.125 Y
0.125 0.375 0.750 Y
0.875 0.625 0.250 Y
0.875 0.750 0.625 Y
0.000 0.000 0.000 W
0.500 0.500 0.000 W
0.500 0.000 0.000 W
0.000 0.500 0.000 W
0.000 0.500 0.500 W
0.500 0.000 0.500 W
0.500 0.500 0.500 W
0.000 0.000 0.500 W